# PBE AcZnPt, relaxed
# M_tot	0.000	μB/atom
# E_tot	-13.14	eV per formula unit
# polymorph energy (0 for the lowest one)	294	meV/atom
# crystal system	tetragonal
# ΔH_f (0 K)	-571	meV per atom
# calculated volume	23.311	Å³/atom
data_AcZnPt
_cell_length_a 3.637
_cell_length_b 3.637
_cell_length_c 10.572
_cell_angle_alpha 90.00
_cell_angle_beta 90.00
_cell_angle_gamma 90.00
_symmetry_space_group_name_H-M 'I 4 m m'
_symmetry_Int_Tables_number 107
_symmetry_space_group_name_Hall 'I 4 -2'
loop_
_atom_site_label
_atom_site_fract_x
_atom_site_fract_y
_atom_site_fract_z
Ac1 0.000 0.000 0.000
Zn1 0.000 0.000 0.292
Pt1 0.000 0.000 0.687